No. 1
Below is Cs2TiTeF6 after structural relaxation, with properties calculated at the PBE level.

Calculated values
As for the spin magnetization: 0.000 μB per atom. The uncorrected formation energy is -26.99 eV per formula unit.

```
data_Cs2TiTeF6
_cell_length_a 7.571
_cell_length_b 7.571
_cell_length_c 8.401
_cell_angle_alpha 90.00
_cell_angle_beta 90.00
_cell_angle_gamma 90.00
_symmetry_space_group_name_H-M 'I 4/m m m'
_symmetry_Int_Tables_number 139
_symmetry_space_group_name_Hall '-I 4 2'
loop_
_atom_site_label
_atom_site_type_symbol
_atom_site_fract_x
_atom_site_fract_y
_atom_site_fract_z
Cs1 Cs 0.000 0.500 0.250
Ti1 Ti 0.000 0.000 0.000
Te1 Te 0.000 0.000 0.500
F1 F 0.000 0.000 0.231
F2 F 0.176 0.176 0.000
```



No. 2
Below is TaGa2Ni after structural relaxation, with properties calculated at the PBE level.

Calculated values
As for the spin magnetization: 0.000 μB per atom. The calculation puts the energy of formation at 0.0508 eV/atom.

```
data_TaGa2Ni
_cell_length_a 6.203
_cell_length_b 6.203
_cell_length_c 6.203
_cell_angle_alpha 90.00
_cell_angle_beta 90.00
_cell_angle_gamma 90.00
_symmetry_space_group_name_H-M 'F m -3 m'
_symmetry_Int_Tables_number 225
_symmetry_space_group_name_Hall '-F 4 2 3'
loop_
_atom_site_label
_atom_site_type_symbol
_atom_site_fract_x
_atom_site_fract_y
_atom_site_fract_z
Ta1 Ta 0.000 0.000 0.000
Ga1 Ga 0.250 0.250 0.250
Ni1 Ni 0.000 0.000 0.500
```



In eV/atom, the raw total energy values for the records above are, in order, -5.10, -5.87.